# 1
A relaxed ThScCdPt crystal. Source: Alexandria, functional PBE.

Unit cell a=5.088 b=5.088 c=5.088 alpha=60.00 beta=60.00 gamma=60.00
Atoms (fractional coordinates):
Th (0.000, 0.000, 0.000)
Sc (0.500, 0.500, 0.500)
Cd (0.750, 0.750, 0.750)
Pt (0.250, 0.250, 0.250)

Properties
space group = F-43m (216)
D(E_F) = 3.4 states/eV/cell
E = -0.210 Ha/atom

=====

# 2
A relaxed YScCdPt crystal. Source: Alexandria, functional PBE.

Unit cell a=4.968 b=4.968 c=4.968 alpha=60.00 beta=60.00 gamma=60.00
Atoms (fractional coordinates):
Y (0.000, 0.000, 0.000)
Sc (0.500, 0.500, 0.500)
Cd (0.750, 0.750, 0.750)
Pt (0.250, 0.250, 0.250)

Properties
space group = F-43m (216)
D(E_F) = 3.1 states/eV/cell
E = -0.207 Ha/atom

=====

# 3
A relaxed Sc4Zn2CdPt crystal. Source: Alexandria, functional PBE.

Unit cell a=8.271 b=8.271 c=8.271 alpha=33.66 beta=33.66 gamma=33.66
Atoms (fractional coordinates):
Sc (0.118, 0.118, 0.118)
Sc (0.370, 0.370, 0.370)
Sc (0.630, 0.630, 0.630)
Sc (0.882, 0.882, 0.882)
Zn (0.244, 0.244, 0.244)
Zn (0.756, 0.756, 0.756)
Cd (0.500, 0.500, 0.500)
Pt (0.000, 0.000, 0.000)

Properties
space group = R-3m (166)
D(E_F) = 6.7 states/eV/cell
E = -0.181 Ha/atom

=====

# 4
A relaxed Sc4ZnCdPt2 crystal. Source: Alexandria, functional PBE.

Unit cell a=8.231 b=8.231 c=8.231 alpha=33.53 beta=33.53 gamma=33.53
Atoms (fractional coordinates):
Sc (0.121, 0.121, 0.121)
Sc (0.372, 0.372, 0.372)
Sc (0.628, 0.628, 0.628)
Sc (0.879, 0.879, 0.879)
Zn (0.000, 0.000, 0.000)
Cd (0.500, 0.500, 0.500)
Pt (0.249, 0.249, 0.249)
Pt (0.751, 0.751, 0.751)

Properties
space group = R-3m (166)
D(E_F) = 4.3 states/eV/cell
E = -0.211 Ha/atom

=====

# 5
A relaxed ZrScCdPt crystal. Source: Alexandria, functional PBE.

Unit cell a=4.832 b=4.832 c=4.832 alpha=60.00 beta=60.00 gamma=60.00
Atoms (fractional coordinates):
Zr (0.000, 0.000, 0.000)
Sc (0.500, 0.500, 0.500)
Cd (0.750, 0.750, 0.750)
Pt (0.250, 0.250, 0.250)

Properties
space group = F-43m (216)
D(E_F) = 3.9 states/eV/cell
E = -0.222 Ha/atom

=====

# 6
A relaxed Cd2PtSe crystal. Source: Alexandria, functional PBE.

Unit cell a=2.944 b=3.728 c=7.598 alpha=90.00 beta=90.00 gamma=90.00
Atoms (fractional coordinates):
Cd (0.000, 0.000, 0.213)
Cd (0.000, 0.000, 0.787)
Pt (0.500, 0.500, 0.000)
Se (0.000, 0.500, 0.500)

Properties
space group = Pmmm (47)
formation energy (no corrections) = -0.20 eV per atom
D(E_F) = 1.4 states/eV/cell
E = -0.112 Ha/atom

=====

# 7
A relaxed Cd2PtSe crystal. Source: Alexandria, functional PBE.

Unit cell a=4.689 b=4.689 c=3.623 alpha=90.14 beta=90.14 gamma=99.78
Atoms (fractional coordinates):
Cd (0.000, 0.500, 0.000)
Cd (0.500, 0.000, 0.000)
Pt (0.000, 0.000, 0.500)
Se (0.500, 0.500, 0.500)

Properties
space group = C2/m (12)
formation energy (no corrections) = -0.11 eV per atom
D(E_F) = 0.7 states/eV/cell
E = -0.108 Ha/atom

=====

# 8
A relaxed CdPt2Se crystal. Source: Alexandria, functional PBE.

Unit cell a=8.637 b=8.637 c=8.637 alpha=148.77 beta=148.77 gamma=44.75
Atoms (fractional coordinates):
Cd (0.000, 0.000, 0.000)
Cd (0.750, 0.250, 0.500)
Pt (0.204, 0.625, 0.079)
Pt (0.375, 0.454, 0.579)
Pt (0.546, 0.125, 0.921)
Pt (0.875, 0.796, 0.421)
Se (0.250, 0.750, 0.500)
Se (0.500, 0.500, 0.000)

Properties
space group = I-42d (122)
formation energy (no corrections) = -0.01 eV per atom
D(E_F) = 0.3 states/eV/cell
E = -0.152 Ha/atom